Here is a relaxed structure of SrU2MnN5 from Alexandria via LeMat-Bulk. Energies are from PBE-GGA.

Calculated values
- Energy: -168.96 eV per cell
- Uncorrected formation energy: -1.05 eV/atom
- Symmetry: No. 127
- Theoretical density: 9.65 g/cm3

Cell and atoms, written as POSCAR:
```
SrU2MnN5
1.0
6.5013 0.0000 0.0000
0.0000 6.5013 0.0000
0.0000 0.0000 5.6090
Sr U Mn N
2 4 2 10
Direct
0.0000 0.0000 0.0000 Sr
0.5000 0.5000 0.0000 Sr
0.1771 0.3229 0.5000 U
0.3229 0.8229 0.5000 U
0.6771 0.1771 0.5000 U
0.8229 0.6771 0.5000 U
0.0000 0.5000 0.0000 Mn
0.5000 0.0000 0.0000 Mn
0.0000 0.0000 0.5000 N
0.1436 0.6436 0.2505 N
0.1436 0.6436 0.7495 N
0.3564 0.1436 0.2505 N
0.3564 0.1436 0.7495 N
0.5000 0.5000 0.5000 N
0.6436 0.8564 0.2505 N
0.6436 0.8564 0.7495 N
0.8564 0.3564 0.2505 N
0.8564 0.3564 0.7495 N
```

=====

Here is a relaxed structure of Sr2UMn2N6 from Alexandria via LeMat-Bulk. Energies are from PBE-GGA.

Calculated values
- Energy: -91.47 eV per cell
- Uncorrected formation energy: -0.78 eV/atom
- Symmetry: No. 166
- Theoretical density: 6.09 g/cm3

Cell and atoms, written as POSCAR:
```
Sr2UMn2N6
1.0
2.9457 1.7007 5.5075
-2.9457 1.7007 5.5075
0.0000 -3.4014 5.5075
Sr U Mn N
2 1 2 6
Direct
0.2265 0.2265 0.2265 Sr
0.7735 0.7735 0.7735 Sr
0.0000 0.0000 0.0000 U
0.4370 0.4370 0.4370 Mn
0.5630 0.5630 0.5630 Mn
0.2477 0.2477 0.7413 N
0.2477 0.7413 0.2477 N
0.2587 0.7523 0.7523 N
0.7413 0.2477 0.2477 N
0.7523 0.2587 0.7523 N
0.7523 0.7523 0.2587 N
```

=====

Here is a relaxed structure of Sr2MnVN4 from Alexandria via LeMat-Bulk. Energies are from PBE-GGA.

Calculated values
- Energy: -122.87 eV per cell
- Uncorrected formation energy: -0.81 eV/atom
- Symmetry: No. 59
- Theoretical density: 4.65 g/cm3

Cell and atoms, written as POSCAR:
```
Sr2MnVN4
1.0
5.7157 0.0000 0.0000
0.0000 6.9596 0.0000
0.0000 0.0000 6.0496
Sr Mn V N
4 2 2 8
Direct
0.2500 0.0019 0.2505 Sr
0.2500 0.4981 0.2505 Sr
0.7500 0.5019 0.7495 Sr
0.7500 0.9981 0.7495 Sr
0.2500 0.2500 0.7050 Mn
0.7500 0.7500 0.2950 Mn
0.2500 0.7500 0.6835 V
0.7500 0.2500 0.3165 V
0.0031 0.7500 0.4957 N
0.2500 0.5109 0.8252 N
0.2500 0.9891 0.8252 N
0.4969 0.7500 0.4957 N
0.5031 0.2500 0.5043 N
0.7500 0.0109 0.1748 N
0.7500 0.4891 0.1748 N
0.9969 0.2500 0.5043 N
```

=====

Here is a relaxed structure of Sr2MnWN5 from Alexandria via LeMat-Bulk. Energies are from PBE-GGA.

Calculated values
- Energy: -144.49 eV per cell
- Uncorrected formation energy: -0.57 eV/atom
- Symmetry: No. 36
- Theoretical density: 6.32 g/cm3

Cell and atoms, written as POSCAR:
```
Sr2MnWN5
1.0
1.5965 -7.5989 0.0000
1.5965 7.5989 0.0000
0.0000 0.0000 10.4804
Sr Mn W N
4 2 2 10
Direct
0.1244 0.8756 0.5000 Sr
0.1292 0.8708 0.1257 Sr
0.8708 0.1292 0.6257 Sr
0.8756 0.1244 0.0000 Sr
0.4459 0.5541 0.2496 Mn
0.5541 0.4459 0.7496 Mn
0.2108 0.7892 0.8339 W
0.7892 0.2108 0.3339 W
0.0512 0.9488 0.8276 N
0.2973 0.7027 0.4560 N
0.3243 0.6757 0.2026 N
0.3291 0.6709 0.8115 N
0.4942 0.5058 0.1099 N
0.5058 0.4942 0.6099 N
0.6709 0.3291 0.3115 N
0.6757 0.3243 0.7026 N
0.7027 0.2973 0.9560 N
0.9488 0.0512 0.3276 N
```

=====

Here is a relaxed structure of SrY2MnN4 from Alexandria via LeMat-Bulk. Energies are from PBE-GGA.

Calculated values
- Energy: -131.89 eV per cell
- Uncorrected formation energy: -1.11 eV/atom
- Symmetry: No. 63
- Theoretical density: 5.21 g/cm3

Cell and atoms, written as POSCAR:
```
SrY2MnN4
1.0
1.7273 -5.9181 0.0000
1.7273 5.9181 0.0000
0.0000 0.0000 11.7283
Sr Y Mn N
2 4 2 8
Direct
0.0973 0.9027 0.7500 Sr
0.9027 0.0973 0.2500 Sr
0.3697 0.6303 0.5430 Y
0.3697 0.6303 0.9570 Y
0.6303 0.3697 0.0430 Y
0.6303 0.3697 0.4570 Y
0.1748 0.8252 0.2500 Mn
0.8252 0.1748 0.7500 Mn
0.0000 0.0000 0.0000 N
0.0000 0.0000 0.5000 N
0.2599 0.7401 0.1229 N
0.2599 0.7401 0.3771 N
0.3997 0.6003 0.7500 N
0.6003 0.3997 0.2500 N
0.7401 0.2599 0.6229 N
0.7401 0.2599 0.8771 N
```

=====

Here is a relaxed structure of Sr2MnZnN from Alexandria via LeMat-Bulk. Energies are from PBE-GGA.

Calculated values
- Energy: -23.69 eV per cell
- Uncorrected formation energy: -0.31 eV/atom
- Symmetry: No. 123
- Theoretical density: 4.52 g/cm3

Cell and atoms, written as POSCAR:
```
Sr2MnZnN
1.0
5.4873 0.0000 0.0000
0.0000 5.4873 0.0000
0.0000 0.0000 3.7743
Sr Mn Zn N
2 1 1 1
Direct
0.0000 0.5000 0.0000 Sr
0.5000 0.0000 0.0000 Sr
0.0000 0.0000 0.5000 Mn
0.5000 0.5000 0.5000 Zn
0.0000 0.0000 0.0000 N
```

=====

Here is a relaxed structure of TaMnN3 from Alexandria via LeMat-Bulk. Energies are from PBE-GGA.

Calculated values
- Energy: -43.98 eV per cell
- Uncorrected formation energy: 0.40 eV/atom
- Symmetry: No. 221
- Theoretical density: 7.04 g/cm3

Cell and atoms, written as POSCAR:
```
TaMnN3
1.0
4.0325 0.0000 0.0000
0.0000 4.0325 0.0000
0.0000 0.0000 4.0325
Ta Mn N
1 1 3
Direct
0.0000 0.0000 0.0000 Ta
0.5000 0.5000 0.5000 Mn
0.0000 0.0000 0.5000 N
0.0000 0.5000 0.0000 N
0.5000 0.0000 0.0000 N
```

=====

Here is a relaxed structure of Ta3MnN from Alexandria via LeMat-Bulk. Energies are from PBE-GGA.

Calculated values
- Energy: -44.30 eV per cell
- Uncorrected formation energy: 1.75 eV/atom
- Symmetry: No. 221
- Theoretical density: 10.85 g/cm3

Cell and atoms, written as POSCAR:
```
Ta3MnN
1.0
4.5413 0.0000 0.0000
0.0000 4.5413 0.0000
0.0000 0.0000 4.5413
Ta Mn N
3 1 1
Direct
0.0000 0.0000 0.5000 Ta
0.0000 0.5000 0.0000 Ta
0.5000 0.0000 0.0000 Ta
0.0000 0.0000 0.0000 Mn
0.5000 0.5000 0.5000 N
```

=====

Number 1: M_tot 4.14 μB/cell. Number 2: M_tot 0.00 μB/cell. Number 3: M_tot 7.84 μB/cell. Number 4: M_tot 0.00 μB/cell. Number 5: M_tot 5.41 μB/cell. Number 6: M_tot 2.63 μB/cell. Number 7: M_tot 3.20 μB/cell. Number 8: M_tot 0.00 μB/cell.